[1]
Hf2InCu PBE-GGA relaxed; space-group type = P4/mmm (123); calculated formation energy = -5.9 kJ/mol of atoms; density of states at the Fermi level = 1.044 states/eV/atom
1.0
-3.218 1.051 -2.463
-1.368 -4.082 0.045
-2.390 0.840 3.481
Hf Cu In
2 1 1
Cartesian
-1.195 0.420 1.740
-0.684 -2.041 0.023
-3.488 -1.096 0.531
-1.609 0.525 -1.232

[2]
HfInCu PBE-GGA relaxed; space-group type = P-1 (2); calculated formation energy = -2.4 kJ/mol of atoms; density of states at the Fermi level = 0.515 states/eV/atom
1.0
-0.384 -0.990 2.962
5.335 0.387 -0.839
-2.369 7.112 0.396
Hf Cu In
2 2 2
Cartesian
3.000 2.477 1.103
0.111 3.537 1.076
3.429 -0.196 1.937
-0.322 6.204 0.241
0.586 0.583 1.827
2.524 5.431 0.353

[3]
La2HfInCu PBE-GGA relaxed; space-group type = P4/mmm (123); calculated formation energy = 70.4 kJ/mol of atoms; density of states at the Fermi level = 1.316 states/eV/atom
1.0
5.672 0.000 0.000
0.000 5.471 0.000
0.000 0.000 5.672
Hf La Cu In
1 2 1 1
Cartesian
0.000 0.000 0.000
0.000 0.000 2.836
2.836 0.000 0.000
2.836 2.735 2.836
0.000 2.735 0.000

[4]
LiHfInCu PBE-GGA relaxed; space-group type = F-43m (216); calculated formation energy = -10.0 kJ/mol of atoms; density of states at the Fermi level = 0.440 states/eV/atom
1.0
-2.785 3.406 -1.146
-3.331 1.262 2.825
0.257 3.979 2.184
In Cu Li Hf
1 1 1 1
Cartesian
-2.930 4.323 1.931
-4.394 6.485 2.897
-1.465 2.162 0.966
0.000 0.000 0.000

[5]
LuHfInCu PBE-GGA relaxed; space-group type = F-43m (216); calculated formation energy = -10.4 kJ/mol of atoms; density of states at the Fermi level = 0.817 states/eV/atom
1.0
-4.381 -2.190 -0.410
-2.074 -2.102 3.929
-3.967 2.034 2.068
Cu Hf In Lu
1 1 1 1
Cartesian
-7.817 -1.693 4.190
-5.211 -1.129 2.794
-2.606 -0.564 1.397
0.000 0.000 0.000

[6]
HfMgInCu PBE-GGA relaxed; space-group type = P4mm (99); calculated formation energy = -12.4 kJ/mol of atoms; density of states at the Fermi level = 0.660 states/eV/atom
1.0
3.160 0.000 0.000
0.000 3.160 0.000
0.000 0.000 7.720
Cu In Mg Hf
1 1 1 1
Cartesian
0.000 0.000 4.432
0.000 0.000 0.560
1.580 1.580 6.029
1.580 1.580 2.757

[7]
NaHf2InCu PBE-GGA relaxed; space-group type = P4/mmm (123); calculated formation energy = 113.1 kJ/mol of atoms; density of states at the Fermi level = 1.287 states/eV/atom
1.0
-3.079 -4.390 -0.545
3.723 -2.214 -3.208
2.137 -1.976 3.844
Hf Na In Cu
2 1 1 1
Cartesian
1.862 -1.107 -1.604
-1.540 -2.195 -0.272
1.391 -4.290 0.046
0.000 0.000 0.000
1.069 -0.988 1.922

[8]
HfInCuS3 PBE-GGA relaxed; space-group type = P2_1/m (11); formation energy (no corrections) = -5.65 eV/f.u.
1.0
3.707 0.000 0.000
0.000 8.554 0.428
0.000 -3.672 8.247
Hf Cu S In
2 2 6 2
Cartesian
0.927 5.247 1.625
2.780 -0.365 7.050
2.780 6.397 3.668
0.927 -1.515 5.007
2.780 3.451 1.432
2.780 -0.128 4.561
2.780 7.009 1.441
0.927 -2.127 7.234
0.927 1.430 7.242
0.927 5.010 4.114
0.927 0.897 2.203
2.780 3.985 6.472

[9]
HfInCuS4 PBE-GGA relaxed; space-group type = Imma (74); formation energy (no corrections) = -6.38 eV/f.u.
1.0
7.339 0.000 0.000
3.670 6.532 0.154
3.670 2.137 6.175
S Cu In Hf
8 2 2 2
Cartesian
9.191 5.516 1.719
11.009 6.596 4.718
5.487 3.153 4.609
7.339 6.500 4.648
5.487 5.516 1.719
3.670 2.072 1.611
7.339 2.169 1.681
9.191 3.153 4.609
7.339 4.283 5.434
7.339 4.386 0.895
0.000 0.000 0.000
3.670 4.334 3.164
1.835 1.068 3.087
5.504 1.068 3.087

[10]
HfIn2CuSb PBE-GGA relaxed; E above lowest polymorph = 0.346 eV per atom; space-group type = P4/mmm (123); formation energy (no corrections) = 4.32 eV/f.u.; density of states at the Fermi level = 0.638 states/eV/atom
1.0
-5.044 2.317 0.592
-1.906 -3.380 -3.012
-1.013 -3.323 4.370
Hf Sb In Cu
1 1 2 1
Cartesian
0.000 0.000 0.000
-3.982 -2.193 0.975
-0.507 -1.661 2.185
-2.522 1.159 0.296
-0.953 -1.690 -1.506

[11]
HfIn2CuSb PBE-GGA relaxed; E above lowest polymorph = 0.000 eV per atom; space-group type = P4/mmm (123); formation energy (no corrections) = 2.59 eV/f.u.; density of states at the Fermi level = 0.783 states/eV/atom
1.0
4.877 0.000 0.000
0.000 5.248 0.000
0.000 0.000 4.877
In Sb Cu Hf
2 1 1 1
Cartesian
2.439 0.000 0.000
0.000 0.000 2.439
0.000 2.624 0.000
0.000 0.000 0.000
2.439 2.624 2.439

[12]
HfInCuTc PBE-GGA relaxed; space-group type = F-43m (216); calculated formation energy = -2.9 kJ/mol of atoms; density of states at the Fermi level = 0.750 states/eV/atom
1.0
4.602 0.000 0.000
2.301 3.985 0.000
2.301 1.328 3.757
Hf Tc Cu In
1 1 1 1
Cartesian
4.602 2.657 1.879
6.902 3.985 2.818
2.301 1.328 0.939
0.000 0.000 0.000